An optimized crystal structure of Nd2Er3Sc, computed with PBE.

N(E_F) (states/eV per cell): 20.30
Calculated formation energy (kJ/mol of atoms): 14.33
Symmetry: No. 12
Final energy (eV per cell): -57.33
Distance to the lowest polymorph of the same formula (meV per atom): 109
Magnetization (Bohr magnetons per cell): 0.0

Structure (POSCAR):
```
Nd2Er3Sc
1.0
8.772 -1.721 0.000
8.772 1.721 0.000
-6.453 0.000 12.521
Nd Er Sc
4 6 2
Direct
0.152 0.152 0.468 Nd
0.321 0.321 0.124 Nd
0.679 0.679 0.876 Nd
0.848 0.848 0.532 Nd
0.099 0.099 0.027 Er
0.239 0.239 0.294 Er
0.462 0.462 0.789 Er
0.538 0.538 0.211 Er
0.761 0.761 0.706 Er
0.901 0.901 0.973 Er
0.064 0.064 0.641 Sc
0.936 0.936 0.359 Sc
```